VASP calculation (PBE-GGA) on a geometry-optimized Pm2HoCo2 structure.

Energy above the lowest structure with this stoichiometry, meV per atom: 0
VASP energy, eV/atom: -5.742
E_form, eV/atom: -0.084

Structure (CIF):
```
data_Pm2HoCo2
_chemical_formula_sum 'Pm4 Ho2 Co4'
_space_group_name_H-M_alt 'P 1'
_space_group_IT_number 1
_space_group_name_Hall 'P 1'
_cell_length_a 3.8702
_cell_length_b 6.5648
_cell_length_c 9.7310
_cell_angle_alpha 82.79
_cell_angle_beta 78.53
_cell_angle_gamma 72.86
loop_
_atom_site_label
_atom_site_type_symbol
_atom_site_fract_x
_atom_site_fract_y
_atom_site_fract_z
_atom_site_occupancy
Co1 Co 0.8951 0.6679 0.5419 1
Co2 Co 0.1049 0.3321 0.4581 1
Co3 Co 0.9926 0.1217 0.8932 1
Co4 Co 0.0074 0.8783 0.1068 1
Pm1 Pm 0.6644 0.7448 0.9264 1
Pm2 Pm 0.4675 0.3718 0.6933 1
Pm3 Pm 0.5325 0.6282 0.3067 1
Pm4 Pm 0.3356 0.2552 0.0736 1
Ho1 Ho 0.7825 0.0716 0.3633 1
Ho2 Ho 0.2175 0.9284 0.6367 1
```